This record from Alexandria describes a relaxed structure of KMo3P2O14. The functional is GGA+U.

Lattice parameters (Å, degrees): 9.0081 6.5064 10.8066 90.00 111.24 90.00
Space group P2_1/m (No. 11)
Asymmetric unit:
1 K 0.0113 0.2500 0.2483 x2
2 Mo 0.2609 0.7500 0.1734 x2
3 Mo 0.2745 0.7500 0.4948 x2
4 Mo 0.3412 0.2500 0.8774 x2
5 P 0.3562 0.2500 0.5643 x2
6 P 0.3886 0.2500 0.1984 x2
7 O 0.0971 0.7500 0.0299 x2
8 O 0.1216 0.7500 0.5528 x2
9 O 0.1583 0.7500 0.2980 x2
10 O 0.2260 0.0346 0.8687 x4
11 O 0.2801 0.0613 0.1906 x4
12 O 0.2874 0.0615 0.4747 x4
13 O 0.2950 0.2500 0.6801 x2
14 O 0.4347 0.7500 0.1151 x2
15 O 0.4472 0.2500 0.0800 x2
16 O 0.4600 0.7500 0.3859 x2
17 O 0.4666 0.7500 0.6717 x2

Output
Uncorrected energy (eV per atom): -7.0170
Density of states at the Fermi level (states/eV/f.u.): 0.0
M_tot (μB per atom): 0.0500